No. 1
# HgGeNF2, relaxed, DFT PBE
# Density of states at the Fermi level, states/eV per atom: 0.24
# Distance to the lowest polymorph of the same formula, meV/atom: 0
# Total magnetization, μB/f.u.: 0.0
# E, eV/atom: -3.897
data_HgGeNF2
_chemical_formula_sum 'Hg1 Ge1 N1 F2'
_space_group_name_H-M_alt 'P 4/m m m'
_space_group_IT_number 123
_space_group_name_Hall '-P 4 2'
_cell_length_a 4.060
_cell_length_b 4.060
_cell_length_c 3.799
_cell_angle_alpha 90.00
_cell_angle_beta 90.00
_cell_angle_gamma 90.00
loop_
_atom_site_label
_atom_site_type_symbol
_atom_site_fract_x
_atom_site_fract_y
_atom_site_fract_z
Hg1 Hg 0.000 0.000 0.000
Ge1 Ge 0.500 0.500 0.500
N1 N 0.500 0.500 0.000
F1 F 0.000 0.500 0.500

---

No. 2
# TaInO3, relaxed, DFT PBE
# Density of states at the Fermi level, states/eV per atom: 0.92
# Total magnetization, μB/f.u.: 2.0
# E, eV/atom: -6.155
data_TaInO3
_chemical_formula_sum 'Ta1 In1 O3'
_space_group_name_H-M_alt 'P m -3 m'
_space_group_IT_number 221
_space_group_name_Hall '-P 4 2 3'
_cell_length_a 4.059
_cell_length_b 4.059
_cell_length_c 4.059
_cell_angle_alpha 90.00
_cell_angle_beta 90.00
_cell_angle_gamma 90.00
loop_
_atom_site_label
_atom_site_type_symbol
_atom_site_fract_x
_atom_site_fract_y
_atom_site_fract_z
Ta1 Ta 0.000 0.000 0.000
In1 In 0.500 0.500 0.500
O1 O 0.000 0.500 0.500

---

No. 3
# Cs3LaBi2Se6, relaxed, DFT PBE
# Density of states at the Fermi level, states/eV per atom: 0.00
# Total magnetization, μB/f.u.: 0.0
# E, eV/atom: -4.139
data_Cs3LaBi2Se6
_chemical_formula_sum 'Cs6 La2 Bi4 Se12'
_space_group_name_H-M_alt 'C 1 2/m 1'
_space_group_IT_number 12
_space_group_name_Hall '-C 2y'
_cell_length_a 7.668
_cell_length_b 13.280
_cell_length_c 8.765
_cell_angle_alpha 90.00
_cell_angle_beta 106.95
_cell_angle_gamma 90.00
loop_
_atom_site_label
_atom_site_type_symbol
_atom_site_fract_x
_atom_site_fract_y
_atom_site_fract_z
Cs1 Cs 0.000 0.000 0.000
Cs2 Cs 0.000 0.333 0.000
La1 La 0.000 0.500 0.500
Bi1 Bi 0.000 0.167 0.500
Se1 Se 0.226 0.000 0.692
Se2 Se 0.233 0.331 0.692

---

Look up the E of the second one. -6.155 eV/atom

---

Look up the density of states at the Fermi level of the third one. 0.00 states/eV per atom